1.
{"formula": "RbAsPd2Pb", "functional": "GGA-PBE", "state": "optimized geometry", "spacegroup": "P4/mmm, No. 123", "dos_at_fermi_per_ev_cell": 3.723, "e_form_mev_per_atom": 777, "vol_a3_per_fu": 169.3, "cell": [[5.145, 0.000, 0.000], [0.000, 5.145, 0.000], [0.000, 0.000, 6.394]], "species": ["Pb", "As", "Rb", "Pd", "Pd"], "frac_coords": [[0.000, 0.000, 0.000], [0.500, 0.500, 0.500], [0.000, 0.000, 0.500], [0.000, 0.500, 0.000], [0.500, 0.000, 0.000]]}

***

2.
{"formula": "SbAs2Pd9Pb3", "functional": "GGA-PBE", "state": "optimized geometry", "spacegroup": "P-3m1, No. 164", "dos_at_fermi_per_ev_cell": 5.141, "formation_energy_uncorrected_kj_per_mol_atoms": -17.5, "vol_a3_per_fu": 336.8, "cell": [[-0.338, 3.300, 5.802], [-4.361, -4.889, -1.323], [5.400, -5.795, 3.611]], "species": ["Sb", "As", "As", "Pd", "Pd", "Pd", "Pd", "Pd", "Pd", "Pd", "Pd", "Pd", "Pb", "Pb", "Pb"], "frac_coords": [[0.000, 0.000, 0.500], [0.333, 0.667, 0.179], [0.667, 0.333, 0.821], [0.859, 0.141, 0.735], [0.859, 0.719, 0.735], [0.281, 0.141, 0.735], [0.719, 0.859, 0.265], [0.141, 0.281, 0.265], [0.141, 0.859, 0.265], [0.500, 0.000, 0.000], [0.000, 0.500, 0.000], [0.500, 0.500, 0.000], [0.333, 0.667, 0.713], [0.000, 0.000, 0.000], [0.667, 0.333, 0.287]]}

***

3.
{"formula": "As2PdPbSe", "functional": "GGA-PBE", "state": "optimized geometry", "spacegroup": "P4/mmm, No. 123", "dos_at_fermi_per_ev_cell": 4.885, "polymorph_energy_mev_per_atom": 0, "formation_energy_uncorrected_kj_per_mol_atoms": 28.2, "vol_a3_per_fu": 137.3, "cell": [[-4.016, -1.300, -2.578], [2.662, 0.040, -4.168], [1.267, -5.415, 0.758]], "species": ["Pb", "As", "As", "Se", "Pd"], "frac_coords": [[0.500, 0.500, 0.500], [0.000, 0.500, 0.000], [0.500, 0.000, 0.000], [0.000, 0.000, 0.500], [0.000, 0.000, 0.000]]}